Entry 1:
VASP calculation (PBE) on a geometry-optimized PrHoTl2 structure.

Lattice parameters (Å, degrees): 3.8509 3.8509 7.7108 90.00 90.00 90.00
With the nearest neighbours (Å) after each atom.
Element x y z (fractional)
Pr (0.5000, 0.5000, 0.5000)  8 Tl 3.41
Tl (0.0000, 0.0000, 0.7653)  4 Ho 3.27, 4 Pr 3.41, 1 Tl 3.62
Tl (0.0000, 0.0000, 0.2347)  4 Ho 3.27, 4 Pr 3.41, 1 Tl 3.62
Ho (0.5000, 0.5000, 0.0000)  8 Tl 3.27

Computed properties:
Crystal system = tetragonal
D(E_F) = 2.83 states/eV per cell
Raw total energy = -3.8922 eV/atom
Formation enthalpy at 0 K = -369.8 meV per atom
Total magnetization = 0.000 μB per formula unit


Entry 2:
VASP calculation (PBE) on a geometry-optimized K3Tl8Sb3 structure.

Lattice parameters (Å, degrees): 5.3252 9.8500 9.8500 81.65 74.32 74.32
With the nearest neighbours (Å) after each atom.
Element x y z (fractional)
K (0.5000, 0.5000, 0.5000)  8 Tl 3.65
K (0.7981, 0.2019, 0.2019)  4 Sb 3.54-3.87, 8 Tl 3.92-3.93
K (0.2019, 0.7981, 0.7981)  4 Sb 3.54-3.87, 8 Tl 3.92-3.93
Tl (0.6415, 0.0734, 0.6436)  3 Tl 3.32-3.34, 3 Sb 3.37-3.40
Tl (0.3585, 0.9266, 0.3564)  3 Tl 3.32-3.34, 3 Sb 3.37-3.40
Tl (0.6415, 0.6436, 0.0734)  3 Tl 3.32-3.34, 3 Sb 3.37-3.40
Tl (0.3585, 0.3564, 0.9266)  3 Tl 3.32-3.34, 3 Sb 3.37-3.40
Tl (0.8686, 0.7626, 0.5001)  1 Sb 3.17, 4 Tl 3.32-3.38
Tl (0.1314, 0.2374, 0.4999)  1 Sb 3.17, 4 Tl 3.32-3.38
Tl (0.8686, 0.5001, 0.7626)  1 Sb 3.17, 4 Tl 3.32-3.38
Tl (0.1314, 0.4999, 0.2374)  1 Sb 3.17, 4 Tl 3.32-3.38
Sb (0.5000, 0.0000, 0.0000)  4 Tl 3.40, 4 Sb 3.43
Sb (0.0000, 0.8324, 0.1676)  6 Tl 3.17-3.37, 2 Sb 3.43, 2 K 3.54
Sb (0.0000, 0.1676, 0.8324)  6 Tl 3.17-3.37, 2 Sb 3.43, 2 K 3.54

Computed properties:
Crystal system = orthorhombic
D(E_F) = 5.29 states/eV per cell
Raw total energy = -2.5724 eV/atom
Total magnetization = 0.000 μB per formula unit